[1]
First-principles (PBE with a Hubbard U) data for a relaxed structure of CsPa2VO8, as listed in Alexandria via LeMat-Bulk.

```
CsPa2VO8
1.0
-2.982 0.837 3.332
-1.134 -4.411 -0.389
6.682 -4.119 7.047
O V Cs Pa
8 1 1 2
Cartesian
4.014 -7.382 6.517 O
2.301 -4.918 5.857 O
0.264 -2.774 4.133 O
-1.449 -0.311 3.473 O
-1.041 -1.116 1.072 O
3.607 -6.577 8.918 O
-0.277 -3.580 1.130 O
2.843 -4.113 8.860 O
0.000 0.000 0.000 V
3.341 -2.059 3.524 Cs
-1.242 -2.555 2.963 Pa
3.807 -5.138 7.027 Pa
```

As for the symmetry: P-1 (2). For the energy, the calculation gives -99.22 eV/f.u.


[2]
First-principles (PBE with a Hubbard U) data for a relaxed structure of CsPaVO6, as listed in Alexandria via LeMat-Bulk.

```
CsPaVO6
1.0
-2.932 -1.521 5.134
2.376 -3.027 4.739
1.337 5.769 2.732
O Cs Pa V
6 1 1 1
Cartesian
-1.194 -1.301 7.581 O
0.927 -0.428 5.785 O
-0.910 1.031 4.067 O
1.909 1.976 4.660 O
1.767 0.818 8.724 O
-0.139 1.702 6.706 O
0.798 1.359 12.304 Cs
0.293 -0.188 8.035 Pa
0.454 1.132 5.169 V
```

As for the symmetry: C2 (5). As for the density of states at the Fermi level: 0.16 states/eV per cell. For the energy, the calculation gives -68.74 eV/f.u.


[3]
First-principles (PBE with a Hubbard U) data for a relaxed structure of Cs4Pa3VO12, as listed in Alexandria via LeMat-Bulk.

```
Cs4Pa3VO12
1.0
7.530 0.000 0.000
-2.510 7.099 0.000
-2.510 -3.549 6.148
O V Pa Cs
12 1 3 4
Cartesian
-1.255 3.549 3.074 O
1.255 -0.887 4.611 O
3.765 0.000 3.074 O
1.165 -0.824 1.427 O
1.165 1.648 0.000 O
3.855 -2.726 4.721 O
-1.255 0.887 4.611 O
3.855 5.451 0.000 O
1.255 4.437 1.537 O
3.765 2.662 1.537 O
-3.855 2.726 4.721 O
-1.165 0.824 1.427 O
0.000 0.000 0.000 V
-2.510 1.775 3.074 Pa
2.510 -1.775 3.074 Pa
2.510 3.549 0.000 Pa
-1.255 -1.775 3.074 Cs
1.255 1.775 3.074 Cs
3.765 0.000 0.000 Cs
-1.255 3.549 0.000 Cs
```

As for the symmetry: Im-3m (229). As for the density of states at the Fermi level: 0.00 states/eV per cell. For the energy, the calculation gives -151.47 eV/f.u.


[4]
First-principles (PBE with a Hubbard U) data for a relaxed structure of CsPaV2O8, as listed in Alexandria via LeMat-Bulk.

```
CsPaV2O8
1.0
-2.534 -0.624 5.322
5.907 0.119 -0.474
-0.095 8.452 0.946
O V Cs Pa
8 2 1 1
Cartesian
0.128 1.095 1.869 O
3.151 6.852 3.925 O
4.395 7.158 1.310 O
-1.117 0.789 4.483 O
3.038 4.820 2.012 O
1.785 0.847 4.250 O
1.494 7.100 1.543 O
0.241 3.127 3.782 O
3.020 6.458 2.195 V
0.259 1.490 3.599 V
-0.047 4.226 0.473 Cs
0.000 0.000 0.000 Pa
```

As for the symmetry: P-3m1 (164). As for the density of states at the Fermi level: 0.00 states/eV per cell. For the energy, the calculation gives -94.66 eV/f.u.


[5]
First-principles (PBE with a Hubbard U) data for a relaxed structure of Cs2PaW3O12, as listed in Alexandria via LeMat-Bulk.

```
Cs2PaW3O12
1.0
-0.659 -1.579 7.532
-5.532 -4.643 2.738
1.579 -6.997 2.867
W O Cs Pa
3 12 2 1
Cartesian
-2.766 -2.322 1.369 W
-0.330 -0.790 3.766 W
0.789 -3.498 1.434 W
-1.818 -5.016 8.735 O
-0.707 -1.842 5.369 O
-0.411 -8.423 5.801 O
-5.234 -8.162 10.537 O
-1.014 -9.559 10.614 O
-3.599 -3.660 2.524 O
0.270 -6.276 7.417 O
-4.883 -6.943 5.720 O
0.621 -5.057 2.600 O
-4.202 -4.796 7.336 O
-3.906 -11.377 7.768 O
-2.794 -8.203 4.403 O
-2.851 -8.171 8.121 Cs
-1.762 -5.048 5.017 Cs
0.000 0.000 0.000 Pa
```

As for the symmetry: R-3m (166). As for the density of states at the Fermi level: 3.35 states/eV per cell. For the energy, the calculation gives -135.05 eV/f.u.